[1]
An optimized crystal structure of MgURe4. Source: Alexandria via LeMat-Bulk, functional GGA-PBE. Values from VASP.

Output
The value obtained for the formation energy is 0.181 eV/atom. The total magnetization comes out at 2.7 μB per cell. As for the space group: No. 216.

Structure (Quantum ESPRESSO input):
```
&SYSTEM
  ibrav = 0, nat = 6, ntyp = 3
/
ATOMIC_SPECIES
Re 186.21 Re.upf
Mg 24.30 Mg.upf
U 238.03 U.upf
CELL_PARAMETERS angstrom
-4.113 -0.336 3.390
-0.752 -4.450 2.854
0.873 0.027 5.268
ATOMIC_POSITIONS crystal
Re 0.123 0.626 0.626
Re 0.626 0.123 0.626
Re 0.626 0.626 0.123
Mg 0.000 0.000 0.000
U 0.250 0.250 0.250
Re 0.626 0.626 0.626
```

=====

[2]
An optimized crystal structure of MgV2Re. Source: Alexandria via LeMat-Bulk, functional GGA-PBE. Values from VASP.

Output
The value obtained for the formation energy is 0.660 eV/atom. The total magnetization comes out at 0.0 μB per cell. As for the space group: No. 122.

Structure (Quantum ESPRESSO input):
```
&SYSTEM
  ibrav = 0, nat = 8, ntyp = 3
/
ATOMIC_SPECIES
V 50.94 V.upf
Mg 24.30 Mg.upf
Re 186.21 Re.upf
CELL_PARAMETERS angstrom
-3.965 -5.351 2.381
5.278 -4.511 -1.349
1.618 -4.544 2.987
ATOMIC_POSITIONS crystal
V 0.375 0.335 0.750
Mg 0.250 0.750 0.500
V 0.085 0.625 0.250
V 0.665 0.125 0.250
Mg 0.500 0.500 0.000
Re 0.750 0.250 0.500
Re 0.000 0.000 0.000
V 0.875 0.915 0.750
```

=====

[3]
An optimized crystal structure of Mg2VRe2. Source: Alexandria via LeMat-Bulk, functional GGA-PBE. Values from VASP.

Output
The value obtained for the formation energy is 0.848 eV/atom. The total magnetization comes out at 3.0 μB per cell. As for the space group: No. 139.

Structure (Quantum ESPRESSO input):
```
&SYSTEM
  ibrav = 0, nat = 5, ntyp = 3
/
ATOMIC_SPECIES
Re 186.21 Re.upf
Mg 24.30 Mg.upf
V 50.94 V.upf
CELL_PARAMETERS angstrom
-1.229 -0.538 -3.343
-2.806 -1.830 1.326
-5.806 4.923 -0.599
ATOMIC_POSITIONS crystal
Re 0.250 0.750 0.500
Mg 0.402 0.402 0.196
V 0.000 0.000 0.000
Mg 0.598 0.598 0.804
Re 0.750 0.250 0.500
```